The following is a PBE calculation of crystalline GdScBeZn at its relaxed geometry, from Alexandria via LeMat-Bulk.

Density (g cm⁻³): 5.8
Crystal system: cubic
DOS at the Fermi energy (states/eV/cell): 11.43
Formation energy from the elements (eV per atom): -0.12
Electronic total energy (eV/atom): -6.470
Total moment (μB/cell): 30.34

Cell: 6.8140 6.8140 6.8140 Å, 90.00 90.00 90.00°
Closest atoms and distances in Å follow each position.
Space group F-43m (No. 216)
Inequivalent atoms, fractional coordinates:
Gd: 0.0000 0.0000 0.0000 [4 per cell]  4 Be 2.95, 4 Zn 2.95
Sc: 0.0000 0.0000 0.5000 [4 per cell]  4 Be 2.95, 4 Zn 2.95
Be: 0.2500 0.2500 0.2500 [4 per cell]  4 Gd 2.95, 4 Sc 2.95
Zn: 0.2500 0.2500 0.7500 [4 per cell]  4 Gd 2.95, 4 Sc 2.95